1.
DFT (GGA-PBE) results for a relaxed structure of PPtAu.

## Properties
For the calculated total energy, the calculation gives -4.858 eV/atom. As for the space group: P-6m2 (187). The calculation puts the offset from the most stable computed form at 190 meV per atom. As for the formation energy from the elements: 0.05 eV per atom.

Cell and atoms, written as POSCAR:
```
PPtAu
1.0
4.043 0.000 0.000
-2.022 3.502 0.000
0.000 0.000 3.634
P Pt Au
1 1 1
Direct
0.000 0.000 0.000 P
0.333 0.667 0.000 Pt
0.667 0.333 0.500 Au
```

---

2.
DFT (GGA-PBE) results for a relaxed structure of CaPuO2.

## Properties
The uncorrected formation energy comes out at -959 kJ/mol of formula units. For the calculated total energy, the calculation gives -9.048 eV/atom. As for the space group: R-3m (166). The calculation puts the offset from the most stable computed form at 48 meV per atom.

Cell and atoms, written as POSCAR:
```
CaPuO2
1.0
3.609 0.000 0.000
-1.804 3.125 0.000
0.000 0.000 19.547
Ca Pu O
3 3 6
Direct
0.000 0.000 0.000 Ca
0.333 0.667 0.667 Ca
0.667 0.333 0.333 Ca
0.000 0.000 0.500 Pu
0.333 0.667 0.167 Pu
0.667 0.333 0.833 Pu
0.000 0.000 0.395 O
0.000 0.000 0.605 O
0.333 0.667 0.062 O
0.333 0.667 0.272 O
0.667 0.333 0.728 O
0.667 0.333 0.938 O
```

---

3.
DFT (GGA-PBE) results for a relaxed structure of Li2HfCuNi.

## Properties
For the calculated total energy, the calculation gives -4.304 eV/atom. As for the space group: P4/mmm (123). As for the formation energy from the elements: 0.43 eV per atom.

Cell and atoms, written as POSCAR:
```
Li2HfCuNi
1.0
4.066 0.000 0.000
0.000 4.066 0.000
0.000 0.000 4.628
Li Hf Cu Ni
2 1 1 1
Direct
0.000 0.500 0.000 Li
0.500 0.000 0.000 Li
0.000 0.000 0.500 Hf
0.500 0.500 0.000 Cu
0.500 0.500 0.500 Ni
```

---

4.
DFT (GGA-PBE) results for a relaxed structure of La2TlPtO5.

## Properties
The uncorrected formation energy comes out at -1831 kJ/mol of formula units. For the calculated total energy, the calculation gives -6.893 eV/atom. As for the space group: P4/mbm (127).

Cell and atoms, written as POSCAR:
```
La2TlPtO5
1.0
7.057 0.000 0.000
0.000 7.057 0.000
0.000 0.000 5.891
La Tl Pt O
4 2 2 10
Direct
0.181 0.319 0.000 La
0.319 0.819 0.000 La
0.681 0.181 0.000 La
0.819 0.681 0.000 La
0.000 0.000 0.500 Tl
0.500 0.500 0.500 Tl
0.000 0.500 0.500 Pt
0.500 0.000 0.500 Pt
0.000 0.000 0.000 O
0.132 0.632 0.246 O
0.132 0.632 0.754 O
0.368 0.132 0.246 O
0.368 0.132 0.754 O
0.500 0.500 0.000 O
0.632 0.868 0.246 O
0.632 0.868 0.754 O
0.868 0.368 0.246 O
0.868 0.368 0.754 O
```

---

5.
DFT (GGA-PBE) results for a relaxed structure of Np3TaTi2N6.

## Properties
The uncorrected formation energy comes out at -1519 kJ/mol of formula units. For the calculated total energy, the calculation gives -11.013 eV/atom. As for the space group: C2/m (12).

Cell and atoms, written as POSCAR:
```
Np3TaTi2N6
1.0
2.755 -4.772 0.000
2.755 4.772 0.000
-1.835 0.000 5.457
Np Ta Ti N
3 1 2 6
Direct
0.000 0.000 0.000 Np
0.332 0.668 0.000 Np
0.668 0.332 0.000 Np
0.500 0.500 0.500 Ta
0.166 0.834 0.500 Ti
0.834 0.166 0.500 Ti
0.093 0.428 0.285 N
0.237 0.237 0.716 N
0.428 0.093 0.285 N
0.572 0.907 0.715 N
0.763 0.763 0.284 N
0.907 0.572 0.715 N
```

---

6.
DFT (GGA-PBE) results for a relaxed structure of LaMg2.

## Properties
For the calculated total energy, the calculation gives -2.443 eV/atom. As for the space group: I4/mcm (140). As for the formation energy from the elements: 0.26 eV per atom.

Cell and atoms, written as POSCAR:
```
LaMg2
1.0
7.660 0.000 0.000
0.000 7.660 0.000
0.000 0.000 6.438
La Mg
4 8
Direct
0.000 0.000 0.250 La
0.000 0.000 0.750 La
0.500 0.500 0.250 La
0.500 0.500 0.750 La
0.136 0.364 0.000 Mg
0.136 0.636 0.500 Mg
0.364 0.136 0.500 Mg
0.364 0.864 0.000 Mg
0.636 0.136 0.000 Mg
0.636 0.864 0.500 Mg
0.864 0.364 0.500 Mg
0.864 0.636 0.000 Mg
```

---

7.
DFT (GGA-PBE) results for a relaxed structure of RbMo2As2.

## Properties
For the calculated total energy, the calculation gives -6.674 eV/atom. As for the space group: I4/mmm (139). The calculation puts the offset from the most stable computed form at 0 meV per atom. As for the formation energy from the elements: -0.29 eV per atom.

Cell and atoms, written as POSCAR:
```
RbMo2As2
1.0
3.825 0.000 0.000
0.000 3.825 0.000
0.000 0.000 16.164
Rb Mo As
2 4 4
Direct
0.000 0.000 0.000 Rb
0.500 0.500 0.500 Rb
0.000 0.500 0.250 Mo
0.000 0.500 0.750 Mo
0.500 0.000 0.250 Mo
0.500 0.000 0.750 Mo
0.000 0.000 0.360 As
0.000 0.000 0.640 As
0.500 0.500 0.140 As
0.500 0.500 0.860 As
```

---

8.
DFT (GGA-PBE) results for a relaxed structure of InCu2Pt9.

## Properties
For the calculated total energy, the calculation gives -5.626 eV/atom. As for the space group: P4/mmm (123). As for the formation energy from the elements: -0.19 eV per atom.

Cell and atoms, written as POSCAR:
```
InCu2Pt9
1.0
3.960 0.000 0.000
0.000 3.960 0.000
0.000 0.000 11.834
In Cu Pt
1 2 9
Direct
0.000 0.000 0.000 In
0.000 0.000 0.339 Cu
0.000 0.000 0.661 Cu
0.000 0.500 0.176 Pt
0.000 0.500 0.500 Pt
0.000 0.500 0.824 Pt
0.500 0.000 0.176 Pt
0.500 0.000 0.500 Pt
0.500 0.000 0.824 Pt
0.500 0.500 0.000 Pt
0.500 0.500 0.338 Pt
0.500 0.500 0.662 Pt
```